1.
Crystalline Cs2ZrTeI6 at its relaxed geometry. Source: Alexandria, functional PBE-GGA.

Values from the calculation:
Energy relative to the elements, uncorrected   -0.864 eV/atom
Magnetic moment   0.000 μB per formula unit
VASP energy   -3.134 eV per atom

Unit cell a=8.7084 b=8.7084 c=9.2047 alpha=61.77 beta=61.77 gamma=90.00
Sites, in units of the cell vectors:
I: 0.7358 0.7358 0.0000
I: 0.7358 0.2642 0.0000
I: 0.2642 0.7358 0.0000
I: 0.2642 0.2642 0.0000
I: 0.7117 0.7117 0.5766
I: 0.2883 0.2883 0.4234
Zr: 0.5000 0.5000 0.0000
Cs: 0.2500 0.7500 0.5000
Cs: 0.7500 0.2500 0.5000
Te: 0.0000 0.0000 0.0000

---

2.
Crystalline ErIn2Pd2 at its relaxed geometry. Source: Alexandria, functional PBE-GGA.

Values from the calculation:
Magnetic moment   0.000 μB per formula unit
Energy relative to the elements   -0.668 eV per atom
VASP energy   -4.753 eV per atom

Unit cell a=4.6973 b=5.3962 c=8.9476 alpha=108.21 beta=90.00 gamma=90.00
Sites, in units of the cell vectors:
In: 0.7500 0.6322 0.4613
In: 0.2500 0.7911 0.8789
In: 0.7500 0.2089 0.1211
In: 0.2500 0.3678 0.5387
Pd: 0.7500 0.6736 0.0480
Pd: 0.2500 0.9064 0.5965
Pd: 0.7500 0.0936 0.4035
Pd: 0.2500 0.3264 0.9520
Er: 0.2500 0.7866 0.2403
Er: 0.7500 0.2134 0.7597

---

3.
Crystalline TbSm4Ho3 at its relaxed geometry. Source: Alexandria, functional PBE-GGA.

Values from the calculation:
Magnetic moment   0.000 μB per formula unit
Energy relative to the elements   0.198 eV per atom
VASP energy   -4.457 eV per atom

Unit cell a=5.6657 b=3.6073 c=13.3243 alpha=89.95 beta=102.28 gamma=90.00
Sites, in units of the cell vectors:
Tb: 0.5000 0.0000 0.0000
Sm: 0.7231 0.5002 0.4462
Sm: 0.3967 0.5001 0.7934
Sm: 0.6033 0.4999 0.2066
Sm: 0.2769 0.4998 0.5538
Ho: 0.8479 0.0000 0.6958
Ho: 0.1521 0.0000 0.3042
Ho: 0.0000 0.5000 0.0000